Version P
NdMg3Tl3 | GGA-PBE | optimized geometry

Computed properties:
Fermi-level density of states = 6.8 states/eV/f.u.

Cell lengths 7.7549, 7.7549, 7.7549 Å; angles 90.00, 90.00, 90.00 degrees
With the nearest neighbours (Å) after each atom.
Space group Pm-3n (No. 223)
Inequivalent atoms, fractional coordinates:
Nd 0.0000 0.0000 0.0000 (multiplicity 2)  12 Tl 4.34, 12 Mg 4.34
Mg 0.0000 0.2500 0.5000 (multiplicity 6)  4 Tl 2.74
Tl 0.0000 0.5000 0.2500 (multiplicity 6)  4 Mg 2.74

Version Q
NdMg3Tl3 | GGA-PBE | optimized geometry

Computed properties:
Fermi-level density of states = 9.2 states/eV/f.u.

Cell lengths 13.7739, 13.7739, 13.7739 Å; angles 90.00, 90.00, 90.00 degrees
With the nearest neighbours (Å) after each atom.
Space group Fm-3m (No. 225)
Inequivalent atoms, fractional coordinates:
Nd 0.2500 0.2500 0.2500 (multiplicity 8)  12 Tl 5.03, 12 Mg 5.06
Mg 0.0000 0.0000 0.1501 (multiplicity 24)  1 Tl 2.63, 4 Mg 2.92
Tl 0.0000 0.0000 0.3409 (multiplicity 24)  1 Mg 2.63

Tell me which of them is the most stable. Sure, it is version P.

Version P
Nd6MgTl | GGA-PBE | optimized geometry

Computed properties:
Fermi-level density of states = 11.1 states/eV/f.u.

Cell lengths 6.3735, 6.3784, 6.3787 Å; angles 90.39, 90.52, 90.72 degrees
With the nearest neighbours (Å) after each atom.
Space group P-1 (No. 2)
Inequivalent atoms, fractional coordinates:
Nd 0.0111 0.2467 0.0251 (multiplicity 2)  2 Nd 3.16-3.25, 1 Mg 3.43, 1 Tl 3.51
Nd 0.2535 0.9762 0.4802 (multiplicity 2)  2 Nd 3.16-3.26, 1 Mg 3.43, 1 Tl 3.46
Nd 0.4767 0.4792 0.7536 (multiplicity 2)  2 Nd 3.16-3.26, 1 Mg 3.43, 1 Tl 3.45
Mg 0.0000 0.5000 0.5000 (multiplicity 1)  12 Nd 3.43-3.73
Tl 0.5000 0.0000 0.0000 (multiplicity 1)  12 Nd 3.45-3.67

Version Q
Nd6MgTl | GGA-PBE | optimized geometry

Computed properties:
Fermi-level density of states = 13.4 states/eV/f.u.

Cell lengths 5.0191, 5.0191, 10.0220 Å; angles 90.00, 90.00, 90.00 degrees
With the nearest neighbours (Å) after each atom.
Space group P4/mmm (No. 123)
Inequivalent atoms, fractional coordinates:
Nd 0.0000 0.0000 0.0000 (multiplicity 1)  8 Nd 3.53, 4 Tl 3.55
Nd 0.0000 0.0000 0.5000 (multiplicity 1)  4 Mg 3.55, 8 Nd 3.56
Nd 0.0000 0.5000 0.2482 (multiplicity 4)  2 Tl 3.53, 8 Nd 3.53-3.56, 2 Mg 3.56
Mg 0.5000 0.5000 0.5000 (multiplicity 1)  12 Nd 3.55-3.56
Tl 0.5000 0.5000 0.0000 (multiplicity 1)  12 Nd 3.53-3.55

Tell me which of them is the most stable. Sure, it is version Q.